# 1
Material: CoIrRh2O8
Method: DFT, PBE+U
State: relaxed

The structure in extended XYZ format:
```
12
Lattice="3.1963 -3.2026 0.0000 3.1963 3.2026 0.0000 0.0000 0.0000 6.2678" Properties=species:S:1:pos:R:3 pbc="T T T"
Co 0.0000 0.0000 0.0000
Ir 0.0000 0.0000 3.1339
Rh 3.1963 0.0000 1.5509
Rh 3.1963 0.0000 4.7169
O 3.1963 1.9714 1.5977
O 3.1963 1.9714 4.6701
O 1.9330 0.0000 3.1339
O 1.9441 0.0000 0.0000
O 4.4485 0.0000 0.0000
O 4.4596 0.0000 3.1339
O 3.1963 -1.9714 1.5977
O 3.1963 -1.9714 4.6701
```

Calculated values
- E (Ry per atom) = -0.4763
- space-group type = No. 65
- crystal system = orthorhombic
- ρ (Mg/m³) = 7.6

# 2
Material: CoIrRh2O6
Method: DFT, PBE+U
State: relaxed

The structure in extended XYZ format:
```
10
Lattice="2.6226 1.5141 4.5949 -2.6226 1.5141 4.5949 0.0000 -3.0283 4.5949" Properties=species:S:1:pos:R:3 pbc="T T T"
Co 0.0000 0.0000 0.0000
Ir 0.0000 0.0000 6.7298
Rh 0.0000 0.0000 4.0249
Rh 0.0000 0.0000 11.0047
O -1.5948 -0.0106 5.4415
O -0.9910 -1.4818 7.7000
O 0.8065 -1.3759 5.4415
O -0.7878 1.5992 7.7000
O 0.7883 1.3864 5.4415
O 1.7788 -0.1174 7.7000
```

Calculated values
- E (Ry per atom) = -0.4816
- space-group type = No. 146
- crystal system = trigonal
- ρ (Mg/m³) = 8.4

# 3
Material: CoSb2IrO
Method: DFT, PBE+U
State: relaxed

The structure in extended XYZ format:
```
5
Lattice="4.7506 0.0000 0.0000 0.0000 4.7506 0.0000 0.0000 0.0000 4.0501" Properties=species:S:1:pos:R:3 pbc="T T T"
Co 0.0000 0.0000 0.0000
Sb 0.0000 2.3753 2.0250
Sb 2.3753 0.0000 2.0250
Ir 2.3753 2.3753 0.0000
O 2.3753 2.3753 2.0250
```

Calculated values
- E (Ry per atom) = -0.3655
- space-group type = No. 123
- crystal system = tetragonal
- ρ (Mg/m³) = 9.3

# 4
Material: CoSbIrO6
Method: DFT, PBE+U
State: relaxed

The structure in extended XYZ format:
```
18
Lattice="5.2381 0.0000 0.0000 -2.6190 4.5363 0.0000 0.0000 0.0000 8.8157" Properties=species:S:1:pos:R:3 pbc="T T T"
Co 0.0000 0.0000 0.0000
Co 0.0000 0.0000 4.4078
Sb 0.0000 3.0242 2.2039
Sb 2.6190 1.5121 6.6117
Ir 0.0000 3.0242 6.6117
Ir 2.6190 1.5121 2.2039
O -0.8838 1.5886 5.5583
O -1.6852 2.9766 7.6652
O 0.8838 1.5886 7.6652
O -0.8013 4.5074 5.5583
O 1.8177 0.0289 1.1505
O 0.9339 1.5597 3.2574
O 1.6852 2.9766 5.5583
O 0.8013 4.5074 7.6652
O 3.4204 0.0289 3.2574
O 1.7352 2.9477 1.1505
O 4.3042 1.5597 1.1505
O 3.5029 2.9477 3.2574
```

Calculated values
- E (Ry per atom) = -0.4633
- space-group type = No. 163
- crystal system = trigonal
- ρ (Mg/m³) = 7.4

# 5
Material: Co2SbIrO6
Method: DFT, PBE+U
State: relaxed

The structure in extended XYZ format:
```
10
Lattice="2.6453 1.5273 4.6320 -2.6453 1.5273 4.6320 0.0000 -3.0545 4.6320" Properties=species:S:1:pos:R:3 pbc="T T T"
Co 0.0000 0.0000 0.0000
Co 0.0000 0.0000 6.9179
Sb 0.0000 0.0000 10.9817
Ir 0.0000 0.0000 4.0767
O -0.8491 -1.3752 5.3981
O -1.8987 -0.1198 7.6918
O -0.7665 1.4229 5.3980
O 1.0531 -1.5845 7.6918
O 1.6155 -0.0477 5.3980
O 0.8457 1.7042 7.6918
```

Calculated values
- E (Ry per atom) = -0.4621
- space-group type = No. 146
- crystal system = trigonal
- ρ (Mg/m³) = 7.8

# 6
Material: ScCoIrO6
Method: DFT, PBE+U
State: relaxed

The structure in extended XYZ format:
```
18
Lattice="5.1740 0.0000 0.0000 -2.5870 4.4808 0.0000 0.0000 0.0000 8.7007" Properties=species:S:1:pos:R:3 pbc="T T T"
Sc 0.0000 2.9872 2.1752
Sc 2.5870 1.4936 6.5255
Co 0.0000 0.0000 0.0000
Co 0.0000 0.0000 4.3504
Ir 0.0000 2.9872 6.5255
Ir 2.5870 1.4936 2.1752
O -0.7982 1.5897 5.4454
O -1.6094 2.9947 7.6057
O 0.7982 1.5897 7.6057
O -0.8112 4.3772 5.4454
O 1.7758 0.1036 1.0950
O 0.9776 1.4861 3.2553
O 1.6094 2.9947 5.4454
O 0.8112 4.3772 7.6057
O 3.3982 0.1036 3.2553
O 1.7888 2.8911 1.0950
O 4.1964 1.4861 1.0950
O 3.3852 2.8911 3.2553
```

Calculated values
- E (Ry per atom) = -0.5111
- space-group type = No. 163
- crystal system = trigonal
- ρ (Mg/m³) = 6.5

# 7
Material: Sc2CoIrO8
Method: DFT, PBE+U
State: relaxed

The structure in extended XYZ format:
```
12
Lattice="4.6850 0.0000 0.0000 0.0000 6.3610 0.0000 -0.2324 0.0000 4.6883" Properties=species:S:1:pos:R:3 pbc="T T T"
Sc 0.0000 1.5458 0.0000
Sc 0.0000 4.8152 0.0000
Co 2.2263 0.0000 2.3441
Ir 2.2263 3.1805 2.3441
O 0.9216 3.1805 0.9583
O 0.9648 0.0000 1.0070
O 1.3017 1.7331 3.2150
O 1.3017 4.6279 3.2150
O 3.1510 1.7331 1.4733
O 3.1510 4.6279 1.4733
O 3.4878 0.0000 3.6813
O 3.5311 3.1805 3.7299
```

Calculated values
- E (Ry per atom) = -0.5385
- space-group type = No. 10
- crystal system = monoclinic
- ρ (Mg/m³) = 5.6

# 8
Material: CoSiIrO6
Method: DFT, PBE+U
State: relaxed

The structure in extended XYZ format:
```
18
Lattice="4.9247 0.0000 0.0000 -2.4623 4.2649 0.0000 0.0000 0.0000 8.6826" Properties=species:S:1:pos:R:3 pbc="T T T"
Co 0.0000 0.0000 0.0000
Co 0.0000 0.0000 4.3413
Si 0.0000 2.8433 2.1706
Si 2.4623 1.4216 6.5119
Ir 0.0000 2.8433 6.5119
Ir 2.4623 1.4216 2.1706
O -0.7777 1.5592 1.1838
O -1.5009 2.8117 3.1575
O 0.7777 1.5592 3.1575
O -0.7231 4.1588 1.1838
O 1.7392 0.1061 5.5251
O 0.9615 1.4531 7.4988
O 1.5009 2.8117 1.1838
O 0.7231 4.1588 3.1575
O 3.1855 0.1061 7.4988
O 1.6846 2.7057 5.5251
O 3.9632 1.4531 5.5251
O 3.2400 2.7057 7.4988
```

Calculated values
- E (Ry per atom) = -0.4996
- space-group type = No. 163
- crystal system = trigonal
- ρ (Mg/m³) = 6.8